Record 1
{
  "formula": "Cs3InFe",
  "functional": "PBE-GGA",
  "state": "relaxed",
  "cell": [[6.2524, 0.0000, 0.0000], [0.0000, 6.2524, 0.0000], [0.0000, 0.0000, 6.2524]],
  "species": ["Cs", "Cs", "Cs", "In", "Fe"],
  "frac_coords": [[0.0000, 0.0000, 0.5000], [0.0000, 0.5000, 0.0000], [0.5000, 0.0000, 0.0000], [0.5000, 0.5000, 0.5000], [0.0000, 0.0000, 0.0000]],
  "formation_enthalpy_0k_ev_per_atom": 1.099,
  "total_magnetization_mub_per_fu": 0.47,
  "sg": "Pm-3m (221)",
  "volume_a3_per_cell": 244.42,
  "e_tot_ev_per_atom": -1.65
}

Record 2
{
  "formula": "Na3Hg2Bi",
  "functional": "PBE-GGA",
  "state": "relaxed",
  "cell": [[2.7202, -8.1043, 0.0000], [2.7202, 8.1043, 0.0000], [0.0000, 0.0000, 3.7526]],
  "species": ["Na", "Na", "Na", "Hg", "Hg", "Bi"],
  "frac_coords": [[0.0000, 0.0000, 0.0000], [0.3351, 0.6649, 0.0000], [0.6649, 0.3351, 0.0000], [0.1736, 0.8264, 0.5000], [0.8264, 0.1736, 0.5000], [0.5000, 0.5000, 0.5000]],
  "formation_enthalpy_0k_ev_per_atom": -0.275,
  "total_magnetization_mub_per_fu": 0.00,
  "sg": "Cmmm (65)",
  "volume_a3_per_cell": 165.46,
  "e_tot_ev_per_atom": -1.68
}

Record 3
{
  "formula": "PmYTlRh",
  "functional": "PBE-GGA",
  "state": "relaxed",
  "cell": [[0.0000, 3.6692, 3.6692], [3.6692, 0.0000, 3.6692], [3.6692, 3.6692, 0.0000]],
  "species": ["Pm", "Y", "Tl", "Rh"],
  "frac_coords": [[0.0000, 0.0000, 0.0000], [0.5000, 0.5000, 0.5000], [0.7500, 0.7500, 0.7500], [0.2500, 0.2500, 0.2500]],
  "formation_enthalpy_0k_ev_per_atom": -0.454,
  "total_magnetization_mub_per_fu": 0.00,
  "sg": "F-43m (216)",
  "volume_a3_per_cell": 98.80,
  "e_tot_ev_per_atom": -5.69
}

Record 4
{
  "formula": "PmPdPt",
  "functional": "PBE-GGA",
  "state": "relaxed",
  "cell": [[2.5302, -4.0985, 0.0000], [2.5302, 4.0985, 0.0000], [0.0000, 0.0000, 5.8080]],
  "species": ["Pm", "Pm", "Pd", "Pd", "Pt", "Pt"],
  "frac_coords": [[0.1616, 0.8384, 0.7500], [0.8384, 0.1616, 0.2500], [0.1865, 0.8135, 0.2500], [0.8135, 0.1865, 0.7500], [0.5000, 0.5000, 0.0000], [0.5000, 0.5000, 0.5000]],
  "formation_enthalpy_0k_ev_per_atom": -0.872,
  "total_magnetization_mub_per_fu": 0.00,
  "sg": "Cmcm (63)",
  "volume_a3_per_cell": 120.46,
  "e_tot_ev_per_atom": -6.20
}